No. 1
Computed, not measured: a relaxed La2NdTl crystal at the PBE level of DFT.

Summary:
E_form = -0.104 eV per atom
E above lowest polymorph = 0.126 eV per atom
Uncorrected energy = -17.41 eV/f.u.

abc: 6.595 3.804 11.414
angles: 90.00 101.18 90.00
Space group Cm (No. 8)
Symmetry-distinct sites (fractional):
La 0.000 0.000 0.000 x2
La 0.177 0.000 0.532 x2
Nd 0.422 0.000 0.266 x2
Tl 0.089 0.500 0.766 x2

***

No. 2
Computed, not measured: a relaxed La2NdTl9 crystal at the PBE level of DFT.

Summary:
E_form = -0.347 eV per atom
Uncorrected energy = -40.08 eV/f.u.

abc: 4.874 4.874 14.612
angles: 90.00 90.00 90.00
Space group P4/mmm (No. 123)
Symmetry-distinct sites (fractional):
La 0.000 0.000 0.169 x2
Nd 0.000 0.000 0.500 x1
Tl 0.000 0.500 0.000 x2
Tl 0.000 0.500 0.336 x4
Tl 0.500 0.500 0.167 x2
Tl 0.500 0.500 0.500 x1

***

No. 3
Computed, not measured: a relaxed La5Nd2Tl crystal at the PBE level of DFT.

Summary:
E_form = -0.075 eV per atom
E above lowest polymorph = 0.021 eV per atom
Uncorrected energy = -37.14 eV/f.u.

abc: 9.596 10.601 7.149
angles: 90.00 132.15 90.00
Space group Cm (No. 8)
Symmetry-distinct sites (fractional):
La 0.000 0.000 0.000 x2
La 0.018 0.500 0.457 x2
La 0.062 0.000 0.543 x2
La 0.290 0.228 0.000 x4
Nd 0.287 0.250 0.500 x4
Tl 0.064 0.500 0.000 x2

***

No. 4
Computed, not measured: a relaxed La2NdTl crystal at the PBE level of DFT.

Summary:
E_form = -0.230 eV per atom
E above lowest polymorph = 0.000 eV per atom
Uncorrected energy = -17.91 eV/f.u.

abc: 4.999 4.999 5.131
angles: 90.00 90.00 90.00
Space group P4/mmm (No. 123)
Symmetry-distinct sites (fractional):
La 0.000 0.500 0.000 x2
Nd 0.000 0.000 0.500 x1
Tl 0.500 0.500 0.500 x1